Compound: Pm4Ho9Er11
Source: Alexandria
Functional: GGA-PBE
Structure: relaxed

The crystal system is orthorhombic. For the formation enthalpy at 0 K, the calculation gives 0.06 eV per atom. The calculation puts the calculated volume at 31.54 Å³ per atom. For the final energy, the calculation gives -4.54 eV/atom. As for the density of states at the Fermi level: 59.76 states/eV per cell.

The structure belongs to space group Cmmm (No. 65); the cell edges are 16.5818, 24.9196 and 3.6640 Å and the angles 90.00°, 90.00° and 90.00°. The distinct sites, in fractional coordinates, are Pm at (0.1542, 0.1004, 0.0000), Ho at (0.0000, 0.0000, 0.0000), Ho at (0.1018, 0.2358, 0.0000), Ho at (0.1393, 0.4271, 0.0000), Er at (0.0000, 0.1356, 0.5000), Er at (0.0000, 0.3408, 0.5000), Er at (0.0000, 0.5000, 0.5000), Er at (0.2125, 0.0000, 0.5000) and Er at (0.2260, 0.3187, 0.5000).